Entry 1:
A plane-wave DFT calculation with PBEsol was carried out for an optimized crystal structure of LiTa2BiOs.

Unit cell a=4.451 b=4.451 c=4.283 alpha=90.00 beta=90.00 gamma=90.00
Space group P4/mmm (No. 123)
One atom of each set of equivalent atoms:
Li1 0.000 0.000 0.000 x1
Ta1 0.000 0.500 0.000 x2
Bi1 0.500 0.500 0.500 x1
Os1 0.000 0.000 0.500 x1

Properties
The value obtained for the total magnetic moment is 0.0 μB/f.u. Its energy of formation is 1.183 eV per atom.

---

Entry 2:
A plane-wave DFT calculation with PBEsol was carried out for an optimized crystal structure of Li3BiP.

Unit cell a=4.619 b=4.619 c=4.619 alpha=90.00 beta=90.00 gamma=90.00
Space group Pm-3m (No. 221)
One atom of each set of equivalent atoms:
Li1 0.000 0.000 0.500 x3
Bi1 0.500 0.500 0.500 x1
P1 0.000 0.000 0.000 x1

Properties
The value obtained for the total magnetic moment is 0.0 μB/f.u. Its energy of formation is -0.215 eV per atom.

---

Entry 3:
A plane-wave DFT calculation with PBEsol was carried out for an optimized crystal structure of Li2BiPb2.

Unit cell a=4.436 b=4.436 c=12.831 alpha=90.00 beta=90.00 gamma=90.00
Space group I4/mmm (No. 139)
One atom of each set of equivalent atoms:
Li1 0.000 0.500 0.250 x4
Bi1 0.000 0.000 0.000 x2
Pb1 0.000 0.000 0.388 x4

Properties
The value obtained for the total magnetic moment is 0.0 μB/f.u. Its energy above the most stable polymorph in this dataset is 167 meV per atom. Its energy of formation is -0.044 eV per atom.

---

Entry 4:
A plane-wave DFT calculation with PBEsol was carried out for an optimized crystal structure of Li2BiPb2.

Unit cell a=7.386 b=7.386 c=4.368 alpha=90.00 beta=90.00 gamma=90.00
Space group P4/mbm (No. 127)
One atom of each set of equivalent atoms:
Li1 0.138 0.362 0.000 x4
Bi1 0.000 0.000 0.000 x2
Pb1 0.166 0.666 0.500 x4

Properties
The value obtained for the total magnetic moment is 0.0 μB/f.u. Its energy above the most stable polymorph in this dataset is 0 meV per atom. Its energy of formation is -0.211 eV per atom.

---

Entry 5:
A plane-wave DFT calculation with PBEsol was carried out for an optimized crystal structure of LiBi2PdPb.

Unit cell a=5.746 b=5.746 c=4.792 alpha=90.00 beta=90.00 gamma=90.00
Space group P4/mmm (No. 123)
One atom of each set of equivalent atoms:
Li1 0.000 0.000 0.000 x1
Bi1 0.000 0.500 0.500 x2
Pd1 0.500 0.500 0.000 x1
Pb1 0.000 0.000 0.500 x1

Properties
The value obtained for the total magnetic moment is 0.0 μB/f.u. Its energy of formation is 0.858 eV per atom.

---

Entry 6:
A plane-wave DFT calculation with PBEsol was carried out for an optimized crystal structure of LiBi2Pd2.

Unit cell a=7.484 b=7.484 c=3.690 alpha=90.00 beta=90.00 gamma=90.00
Space group P4/mbm (No. 127)
One atom of each set of equivalent atoms:
Li1 0.000 0.000 0.000 x2
Bi1 0.167 0.333 0.500 x4
Pd1 0.133 0.633 0.000 x4

Properties
The value obtained for the total magnetic moment is 0.0 μB/f.u. Its energy of formation is -0.338 eV per atom.

---

Entry 7:
A plane-wave DFT calculation with PBEsol was carried out for an optimized crystal structure of LiBiPt2.

Unit cell a=3.968 b=3.968 c=18.309 alpha=90.00 beta=90.00 gamma=90.00
Space group I-42d (No. 122)
One atom of each set of equivalent atoms:
Li1 0.000 0.000 0.000 x4
Bi1 0.000 0.000 0.500 x4
Pt1 0.231 0.250 0.125 x8

Properties
The value obtained for the total magnetic moment is 0.0 μB/f.u. Its energy of formation is -0.076 eV per atom.

---

Entry 8:
A plane-wave DFT calculation with PBEsol was carried out for an optimized crystal structure of LiReBiRh2.

Unit cell a=4.117 b=4.117 c=4.486 alpha=90.00 beta=90.00 gamma=90.00
Space group P4/mmm (No. 123)
One atom of each set of equivalent atoms:
Li1 0.000 0.000 0.000 x1
Re1 0.500 0.500 0.500 x1
Bi1 0.000 0.000 0.500 x1
Rh1 0.000 0.500 0.000 x2

Properties
The value obtained for the total magnetic moment is 1.0 μB/f.u. Its energy of formation is 1.054 eV per atom.

---

Entry 9:
A plane-wave DFT calculation with PBEsol was carried out for an optimized crystal structure of LiBi3Rh.

Unit cell a=4.912 b=4.912 c=4.912 alpha=90.00 beta=90.00 gamma=90.00
Space group Pm-3m (No. 221)
One atom of each set of equivalent atoms:
Li1 0.000 0.000 0.000 x1
Bi1 0.000 0.000 0.500 x3
Rh1 0.500 0.500 0.500 x1

Properties
The value obtained for the total magnetic moment is 0.0 μB/f.u. Its energy of formation is 0.587 eV per atom.

---

Entry 10:
A plane-wave DFT calculation with PBEsol was carried out for an optimized crystal structure of Li3BiRh.

Unit cell a=4.527 b=4.527 c=4.527 alpha=90.00 beta=90.00 gamma=90.00
Space group Pm-3m (No. 221)
One atom of each set of equivalent atoms:
Li1 0.000 0.000 0.500 x3
Bi1 0.500 0.500 0.500 x1
Rh1 0.000 0.000 0.000 x1

Properties
The value obtained for the total magnetic moment is 0.0 μB/f.u. Its energy of formation is 0.229 eV per atom.

---

Entry 11:
A plane-wave DFT calculation with PBEsol was carried out for an optimized crystal structure of LiBiRu2.

Unit cell a=3.913 b=3.913 c=18.088 alpha=90.00 beta=90.00 gamma=90.00
Space group I-42d (No. 122)
One atom of each set of equivalent atoms:
Li1 0.000 0.000 0.000 x4
Bi1 0.000 0.000 0.500 x4
Ru1 0.174 0.250 0.125 x8

Properties
The value obtained for the total magnetic moment is 0.8 μB/f.u. Its energy of formation is 0.554 eV per atom.

---

Entry 12:
A plane-wave DFT calculation with PBEsol was carried out for an optimized crystal structure of Li2Bi2Ru.

Unit cell a=7.008 b=7.008 c=4.300 alpha=90.00 beta=90.00 gamma=90.00
Space group P4/mbm (No. 127)
One atom of each set of equivalent atoms:
Li1 0.160 0.340 0.000 x4
Bi1 0.152 0.652 0.500 x4
Ru1 0.000 0.000 0.500 x2

Properties
The value obtained for the total magnetic moment is 0.3 μB/f.u. Its energy of formation is 0.015 eV per atom.